# 1
# RbHfAl, optimized geometry, DFT GGA-PBE
# E_form = 0.2990 eV/atom
# ΔE to the lowest computed polymorph = 0.197 eV/atom
# D(E_F) = 0.622 states/eV/atom
# ρ = 4.8 Mg/m³
data_RbHfAl
_cell_length_a 3.282
_cell_length_b 4.193
_cell_length_c 14.753
_cell_angle_alpha 90.00
_cell_angle_beta 95.23
_cell_angle_gamma 90.00
_symmetry_space_group_name_H-M 'P 1 m 1'
_symmetry_Int_Tables_number 6
loop_
_symmetry_equiv_pos_as_xyz
'x,y,z'
'x,-y,z'
loop_
_atom_site_label
_atom_site_type_symbol
_atom_site_fract_x
_atom_site_fract_y
_atom_site_fract_z
Rb1 Rb 0.000 0.000 0.000
Rb2 Rb 0.272 0.500 0.678
Hf1 Hf 0.130 0.000 0.323
Hf2 Hf 0.585 0.500 0.214
Al1 Al 0.664 0.500 0.407
Al2 Al 0.703 0.000 0.513

=====

# 2
# RbHfAl, optimized geometry, DFT GGA-PBE
# E_form = 1.0202 eV/atom
# ΔE to the lowest computed polymorph = 0.918 eV/atom
# D(E_F) = 1.433 states/eV/atom
# ρ = 4.1 Mg/m³
data_RbHfAl
_cell_length_a 4.7545
_cell_length_b 4.7545
_cell_length_c 12.0804
_cell_angle_alpha 90.00
_cell_angle_beta 90.00
_cell_angle_gamma 120.00
_symmetry_space_group_name_H-M 'P 63/m m c'
_symmetry_Int_Tables_number 194
_symmetry_space_group_name_Hall '-P 6c 2c'
loop_
_atom_site_label
_atom_site_type_symbol
_atom_site_fract_x
_atom_site_fract_y
_atom_site_fract_z
Rb1 Rb 0.0000 0.0000 0.0000
Hf1 Hf 0.3333 0.6667 0.2500
Al1 Al 0.3333 0.6667 0.7500

=====

# 3
# RbHfAl, optimized geometry, DFT GGA-PBE
# E_form = 0.3536 eV/atom
# ΔE to the lowest computed polymorph = 0.251 eV/atom
# D(E_F) = 0.185 states/eV/atom
# ρ = 4.8 Mg/m³
data_RbHfAl
_cell_length_a 4.723
_cell_length_b 4.723
_cell_length_c 18.023
_cell_angle_alpha 90.00
_cell_angle_beta 90.00
_cell_angle_gamma 90.00
_symmetry_space_group_name_H-M 'I 4/m m m'
_symmetry_Int_Tables_number 139
_symmetry_space_group_name_Hall '-I 4 2'
loop_
_atom_site_label
_atom_site_type_symbol
_atom_site_fract_x
_atom_site_fract_y
_atom_site_fract_z
Rb1 Rb 0.000 0.000 0.178
Hf1 Hf 0.000 0.500 0.000
Al1 Al 0.000 0.000 0.413

=====

> Look up the ρ of the second one.

4.1 Mg/m³

=====

> ΔE to the lowest computed polymorph of number 3 (RbHfAl)?

0.251 eV/atom